Entry 1:
# SCAN Cr2GaICl, single point on PBEsol structure
# - total magnetization (μB/atom) = 1.81
# - total energy (eV per atom) = -19.275
data_Cr2GaICl
_space_group_name_H-M_alt 'P 4/m m m'
_space_group_IT_number 123
_space_group_name_Hall '-P 4 2'
_cell_length_a 4.5884
_cell_length_b 4.5884
_cell_length_c 6.6878
_cell_angle_alpha 90.00
_cell_angle_beta 90.00
_cell_angle_gamma 90.00
loop_
_atom_site_label
_atom_site_type_symbol
_atom_site_fract_x
_atom_site_fract_y
_atom_site_fract_z
Cr1 Cr 0.0000 0.5000 0.0000
Ga1 Ga 0.0000 0.0000 0.5000
I1 I 0.5000 0.5000 0.5000
Cl1 Cl 0.5000 0.5000 0.0000

Entry 2:
# SCAN Sc2BeTe, single point on PBEsol structure
# - polymorph energy (0 for the lowest one) (meV/atom) = 169
# - total magnetization (μB/atom) = 0.00
data_Sc2BeTe
_space_group_name_H-M_alt 'P 4/m m m'
_space_group_IT_number 123
_space_group_name_Hall '-P 4 2'
_cell_length_a 3.5625
_cell_length_b 3.5625
_cell_length_c 6.0652
_cell_angle_alpha 90.00
_cell_angle_beta 90.00
_cell_angle_gamma 90.00
loop_
_atom_site_label
_atom_site_type_symbol
_atom_site_fract_x
_atom_site_fract_y
_atom_site_fract_z
Sc1 Sc 0.0000 0.0000 0.2349
Be1 Be 0.5000 0.5000 0.0000
Te1 Te 0.5000 0.5000 0.5000

Entry 3:
# SCAN CoIr2Os, single point on PBEsol structure
# - energy relative to the elements (kJ/mol of formula units) = 19
# - polymorph energy (0 for the lowest one) (meV/atom) = 34
# - total magnetization (μB/atom) = 0.40
data_CoIr2Os
_space_group_name_H-M_alt 'I 4/m m m'
_space_group_IT_number 139
_space_group_name_Hall '-I 4 2'
_cell_length_a 3.7360
_cell_length_b 3.7360
_cell_length_c 7.5143
_cell_angle_alpha 90.00
_cell_angle_beta 90.00
_cell_angle_gamma 90.00
loop_
_atom_site_label
_atom_site_type_symbol
_atom_site_fract_x
_atom_site_fract_y
_atom_site_fract_z
Co1 Co 0.0000 0.0000 0.0000
Ir1 Ir 0.0000 0.5000 0.2500
Os1 Os 0.0000 0.0000 0.5000

DOS at the Fermi energy for the records above, in order: 0.36, 3.18, 7.14 states/eV/cell